A geometry-optimized Ir7Os2Rh2 structure, computed with PBE-GGA.

Cell lengths 5.076, 5.076, 6.482 Å; angles 96.87, 96.87, 91.94 degrees
Atoms (fractional coordinates):
Ir  0.000  0.000  0.000
Ir  0.081  0.467  0.806
Ir  0.166  0.166  0.429
Ir  0.467  0.081  0.806
Ir  0.533  0.919  0.194
Ir  0.834  0.834  0.571
Ir  0.919  0.533  0.194
Os  0.313  0.687  0.500
Os  0.687  0.313  0.500
Rh  0.404  0.404  0.156
Rh  0.596  0.596  0.844

Its symmetry is C2/m (12). The offset from the most stable computed form is 0.000 eV/atom. For the volume, the calculation gives 164 Å³/cell.

A geometry-optimized Ir4OsRh structure, computed with PBE-GGA.

Cell lengths 5.095, 5.095, 5.095 Å; angles 60.00, 60.00, 60.00 degrees
Atoms (fractional coordinates):
Ir  0.125  0.125  0.125
Ir  0.125  0.125  0.625
Ir  0.125  0.625  0.125
Ir  0.625  0.125  0.125
Os  0.750  0.750  0.750
Rh  0.500  0.500  0.500

Its symmetry is F-43m (216). The offset from the most stable computed form is 0.695 eV/atom. For the volume, the calculation gives 94 Å³/cell.

A geometry-optimized Ir2OsRh structure, computed with PBE-GGA.

Cell lengths 4.731, 4.731, 4.730 Å; angles 99.51, 99.51, 33.48 degrees
Atoms (fractional coordinates):
Ir  0.000  0.000  0.000
Ir  0.749  0.749  0.254
Os  0.253  0.253  0.758
Rh  0.502  0.502  0.506

Its symmetry is Cm (8). The offset from the most stable computed form is 0.034 eV/atom. For the volume, the calculation gives 58 Å³/cell.

A geometry-optimized Ir4Os2Rh structure, computed with PBE-GGA.

Cell lengths 6.603, 6.603, 6.603 Å; angles 109.90, 109.90, 108.61 degrees
Atoms (fractional coordinates):
Ir  0.104  0.541  0.743
Ir  0.111  0.048  0.757
Ir  0.291  0.354  0.243
Ir  0.459  0.202  0.563
Ir  0.639  0.896  0.437
Ir  0.646  0.889  0.937
Ir  0.798  0.361  0.257
Ir  0.952  0.709  0.063
Os  0.012  0.125  0.387
Os  0.375  0.988  0.113
Os  0.738  0.625  0.613
Os  0.875  0.262  0.887
Rh  0.250  0.750  0.500
Rh  0.500  0.500  0.000

Its symmetry is I-42d (122). The offset from the most stable computed form is 0.379 eV/atom. For the volume, the calculation gives 222 Å³/cell.

A geometry-optimized Ir4OsRh structure, computed with PBE-GGA.

Cell lengths 7.240, 7.240, 8.902 Å; angles 90.00, 90.00, 158.19 degrees
Atoms (fractional coordinates):
Ir  0.003  0.997  0.500
Ir  0.111  0.889  0.251
Ir  0.330  0.670  0.501
Ir  0.445  0.555  0.250
Ir  0.555  0.445  0.750
Ir  0.670  0.330  0.001
Ir  0.889  0.111  0.751
Ir  0.997  0.003  0.000
Os  0.333  0.667  0.998
Os  0.667  0.333  0.498
Rh  0.222  0.778  0.749
Rh  0.778  0.222  0.249

Its symmetry is Cmc2_1 (36). The offset from the most stable computed form is 0.010 eV/atom. For the volume, the calculation gives 173 Å³/cell.

A geometry-optimized IrOsRh2 structure, computed with PBE-GGA.

Cell lengths 4.735, 4.735, 4.735 Å; angles 132.21, 132.21, 69.89 degrees
Atoms (fractional coordinates):
Ir  0.000  0.000  0.000
Os  0.500  0.500  0.000
Rh  0.250  0.750  0.500
Rh  0.750  0.250  0.500

Its symmetry is I4/mmm (139). The offset from the most stable computed form is 0.051 eV/atom. For the volume, the calculation gives 57 Å³/cell.

A geometry-optimized IrOsRh2 structure, computed with PBE-GGA.

Cell lengths 2.724, 2.724, 7.712 Å; angles 90.00, 90.00, 90.00 degrees
Atoms (fractional coordinates):
Ir  0.000  0.000  0.000
Os  0.500  0.500  0.245
Rh  0.000  0.000  0.490
Rh  0.500  0.500  0.747

Its symmetry is P4mm (99). The offset from the most stable computed form is 0.000 eV/atom. For the volume, the calculation gives 57 Å³/cell.

A geometry-optimized Ir6OsRh12 structure, computed with PBE-GGA.

Cell lengths 6.567, 6.567, 6.567 Å; angles 90.30, 90.30, 90.30 degrees
Atoms (fractional coordinates):
Ir  0.220  0.615  0.760
Ir  0.240  0.780  0.385
Ir  0.385  0.240  0.780
Ir  0.615  0.760  0.220
Ir  0.760  0.220  0.615
Ir  0.780  0.385  0.240
Os  0.500  0.500  0.500
Rh  0.020  0.302  0.933
Rh  0.067  0.980  0.698
Rh  0.128  0.342  0.461
Rh  0.302  0.933  0.020
Rh  0.342  0.461  0.128
Rh  0.461  0.128  0.342
Rh  0.539  0.872  0.658
Rh  0.658  0.539  0.872
Rh  0.698  0.067  0.980
Rh  0.872  0.658  0.539
Rh  0.933  0.020  0.302
Rh  0.980  0.698  0.067

Its symmetry is R-3 (148). For the volume, the calculation gives 283 Å³/cell.

A geometry-optimized Ir2Os3Rh structure, computed with PBE-GGA.

Cell lengths 6.956, 6.956, 9.693 Å; angles 103.56, 103.56, 22.65 degrees
Atoms (fractional coordinates):
Ir  0.069  0.069  0.190
Ir  0.242  0.242  0.117
Ir  0.758  0.758  0.883
Ir  0.931  0.931  0.810
Os  0.102  0.102  0.689
Os  0.239  0.239  0.385
Os  0.427  0.427  0.568
Os  0.573  0.573  0.432
Os  0.761  0.761  0.615
Os  0.898  0.898  0.311
Rh  0.414  0.414  0.051
Rh  0.586  0.586  0.949

Its symmetry is C2/m (12). The offset from the most stable computed form is 0.000 eV/atom. For the volume, the calculation gives 175 Å³/cell.

A geometry-optimized Ir2OsRh structure, computed with PBE-GGA.

Cell lengths 2.701, 2.701, 9.435 Å; angles 90.00, 90.00, 120.28 degrees
Atoms (fractional coordinates):
Ir  0.000  0.000  0.000
Ir  0.500  0.500  0.251
Os  0.000  0.000  0.501
Rh  0.500  0.500  0.749

Its symmetry is Cmm2 (35). The offset from the most stable computed form is 0.399 eV/atom. For the volume, the calculation gives 59 Å³/cell.

A geometry-optimized Ir3OsRh12 structure, computed with PBE-GGA.

Cell lengths 3.849, 3.849, 15.374 Å; angles 90.00, 90.00, 90.00 degrees
Atoms (fractional coordinates):
Ir  0.000  0.000  0.000
Ir  0.000  0.000  0.249
Ir  0.000  0.000  0.751
Os  0.000  0.000  0.500
Rh  0.000  0.500  0.125
Rh  0.000  0.500  0.377
Rh  0.000  0.500  0.623
Rh  0.000  0.500  0.875
Rh  0.500  0.000  0.125
Rh  0.500  0.000  0.377
Rh  0.500  0.000  0.623
Rh  0.500  0.000  0.875
Rh  0.500  0.500  0.000
Rh  0.500  0.500  0.251
Rh  0.500  0.500  0.500
Rh  0.500  0.500  0.749

Its symmetry is P4/mmm (123). For the volume, the calculation gives 228 Å³/cell.

A geometry-optimized Ir8OsRh3 structure, computed with PBE-GGA.

Cell lengths 8.602, 8.602, 8.602 Å; angles 145.30, 145.30, 49.89 degrees
Atoms (fractional coordinates):
Ir  0.079  0.669  0.000
Ir  0.168  0.168  0.593
Ir  0.331  0.331  0.410
Ir  0.425  0.832  0.000
Ir  0.575  0.575  0.407
Ir  0.669  0.079  0.000
Ir  0.832  0.425  0.000
Ir  0.921  0.921  0.590
Os  0.000  0.000  0.000
Rh  0.250  0.750  0.500
Rh  0.500  0.500  0.000
Rh  0.750  0.250  0.500

Its symmetry is I-42m (121). For the volume, the calculation gives 205 Å³/cell.

A geometry-optimized Ir2Os4Rh3 structure, computed with PBE-GGA.

Cell lengths 6.112, 6.112, 6.095 Å; angles 107.63, 107.63, 36.69 degrees
Atoms (fractional coordinates):
Ir  0.226  0.226  0.335
Ir  0.774  0.774  0.665
Os  0.113  0.113  0.669
Os  0.329  0.329  0.003
Os  0.671  0.671  0.997
Os  0.887  0.887  0.331
Rh  0.000  0.000  0.000
Rh  0.448  0.448  0.670
Rh  0.552  0.552  0.330

Its symmetry is C2/m (12). For the volume, the calculation gives 129 Å³/cell.

How do the records compare in formation energy from the elements? In the order shown, they have 260.5; 699.8; 25.2; 582.6; 15.5; 59.9; 8.5; 188.1; 155.9; 391.1; 16.4; 545.8; 36.8 meV/atom.